[1]
DFT (PBE with a Hubbard U) results for a relaxed structure of NaCrPO2.

abc: 3.8041 3.8041 5.0015
angles: 90.00 90.00 90.00
With the nearest neighbours (Å) after each atom.
Fractional coordinates of all 5 atoms:
Na 0.0000 0.0000 0.0000  4 P 2.69
Cr 0.5000 0.5000 0.5000  4 O 1.90
P 0.5000 0.5000 0.0000  2 Cr 2.50, 4 Na 2.69
O 0.0000 0.5000 0.5000  2 Cr 1.90
O 0.5000 0.0000 0.5000  2 Cr 1.90

crystal system	tetragonal
symmetry	P4/mmm, No. 123
calculated total energy	-5.331	eV per atom

[2]
DFT (PBE with a Hubbard U) results for a relaxed structure of Na3CrP8O23.

abc: 12.1385 12.1385 12.1385
angles: 90.00 90.00 90.00
With the nearest neighbours (Å) after each atom.
Fractional coordinates of all 140 atoms:
Na 0.0443 0.2943 0.1250  6 O 2.40-2.60
Na 0.1250 0.0443 0.2943  6 O 2.40-2.60
Na 0.2057 0.8750 0.5443  6 O 2.40-2.60
Na 0.2943 0.1250 0.0443  6 O 2.40-2.60
Na 0.3750 0.9557 0.7943  6 O 2.40-2.60
Na 0.4557 0.7057 0.6250  6 O 2.40-2.60
Na 0.5443 0.2057 0.8750  6 O 2.40-2.60
Na 0.6250 0.4557 0.7057  6 O 2.40-2.60
Na 0.7057 0.6250 0.4557  6 O 2.40-2.60
Na 0.7943 0.3750 0.9557  6 O 2.40-2.60
Na 0.8750 0.5443 0.2057  6 O 2.40-2.60
Na 0.9557 0.7943 0.3750  6 O 2.40-2.60
Cr 0.1250 0.6250 0.8750  6 O 2.00
Cr 0.3750 0.3750 0.3750  6 O 2.00
Cr 0.6250 0.8750 0.1250  6 O 2.00
Cr 0.8750 0.1250 0.6250  6 O 2.00
P 0.0176 0.0176 0.0176  4 O 1.48-1.58
P 0.0688 0.3605 0.8543  4 O 1.49-1.64
P 0.1043 0.8895 0.8188  4 O 1.49-1.64
P 0.1105 0.3188 0.3957  4 O 1.49-1.64
P 0.1395 0.1457 0.5688  4 O 1.49-1.64
P 0.1457 0.5688 0.1395  4 O 1.49-1.64
P 0.1812 0.6043 0.6105  4 O 1.49-1.64
P 0.2324 0.7676 0.2676  4 O 1.48-1.58
P 0.2676 0.2324 0.7676  4 O 1.48-1.58
P 0.3188 0.3957 0.1105  4 O 1.49-1.64
P 0.3543 0.4312 0.6395  4 O 1.49-1.64
P 0.3605 0.8543 0.0688  4 O 1.49-1.64
P 0.3895 0.6812 0.8957  4 O 1.49-1.64
P 0.3957 0.1105 0.3188  4 O 1.49-1.64
P 0.4312 0.6395 0.3543  4 O 1.49-1.64
P 0.4824 0.9824 0.5176  4 O 1.48-1.58
P 0.5176 0.4824 0.9824  4 O 1.48-1.58
P 0.5688 0.1395 0.1457  4 O 1.49-1.64
P 0.6043 0.6105 0.1812  4 O 1.49-1.64
P 0.6105 0.1812 0.6043  4 O 1.49-1.64
P 0.6395 0.3543 0.4312  4 O 1.49-1.64
P 0.6457 0.9312 0.8605  4 O 1.49-1.64
P 0.6812 0.8957 0.3895  4 O 1.49-1.64
P 0.7324 0.7324 0.7324  4 O 1.48-1.58
P 0.7676 0.2676 0.2324  4 O 1.48-1.58
P 0.8188 0.1043 0.8895  4 O 1.49-1.64
P 0.8543 0.0688 0.3605  4 O 1.49-1.64
P 0.8605 0.6457 0.9312  4 O 1.49-1.64
P 0.8895 0.8188 0.1043  4 O 1.49-1.64
P 0.8957 0.3895 0.6812  4 O 1.49-1.64
P 0.9312 0.8605 0.6457  4 O 1.49-1.64
P 0.9824 0.5176 0.4824  4 O 1.48-1.58
O 0.0108 0.4054 0.4232  2 P 1.58-1.64
O 0.0115 0.8195 0.5629  1 P 1.49
O 0.0166 0.3750 0.7334  2 P 1.61
O 0.0390 0.1211 0.6367  1 P 1.50
O 0.0629 0.4885 0.1805  1 P 1.49
O 0.0695 0.2385 0.3129  1 P 1.49
O 0.0768 0.9892 0.9054  2 P 1.58-1.64
O 0.0882 0.0882 0.0882  1 P 1.48
O 0.0946 0.5768 0.5108  2 P 1.58-1.64
O 0.1133 0.6289 0.7110  1 P 1.50
O 0.1211 0.6367 0.0390  1 P 1.50
O 0.1250 0.2666 0.5166  2 P 1.61
O 0.1289 0.7890 0.8867  1 P 1.50
O 0.1367 0.4610 0.8789  1 P 1.50
O 0.1554 0.2608 0.8268  2 P 1.58-1.64
O 0.1618 0.8382 0.3382  1 P 1.48
O 0.1732 0.6554 0.2392  2 P 1.58-1.64
O 0.1805 0.0629 0.4885  1 P 1.49
O 0.1871 0.9305 0.7385  1 P 1.49
O 0.2110 0.3867 0.3711  1 P 1.50
O 0.2334 0.4834 0.6250  2 P 1.61
O 0.2392 0.1732 0.6554  2 P 1.58-1.64
O 0.2385 0.3129 0.0695  1 P 1.49
O 0.2615 0.6871 0.5695  1 P 1.49
O 0.2608 0.8268 0.1554  2 P 1.58-1.64
O 0.2666 0.5166 0.1250  2 P 1.61
O 0.2890 0.6133 0.8711  1 P 1.50
O 0.3129 0.0695 0.2385  1 P 1.49
O 0.3195 0.9371 0.9885  1 P 1.49
O 0.3268 0.3446 0.7392  2 P 1.58-1.64
O 0.3382 0.1618 0.8382  1 P 1.48
O 0.3446 0.7392 0.3268  2 P 1.58-1.64
O 0.3633 0.5390 0.3789  1 P 1.50
O 0.3711 0.2110 0.3867  1 P 1.50
O 0.3750 0.7334 0.0166  2 P 1.61
O 0.3789 0.3633 0.5390  1 P 1.50
O 0.3867 0.3711 0.2110  1 P 1.50
O 0.4054 0.4232 0.0108  2 P 1.58-1.64
O 0.4118 0.9118 0.5882  1 P 1.48
O 0.4232 0.0108 0.4054  2 P 1.58-1.64
O 0.4305 0.7615 0.8129  1 P 1.49
O 0.4371 0.5115 0.6805  1 P 1.49
O 0.4610 0.8789 0.1367  1 P 1.50
O 0.4834 0.6250 0.2334  2 P 1.61
O 0.4885 0.1805 0.0629  1 P 1.49
O 0.4892 0.5946 0.9232  2 P 1.58-1.64
O 0.5108 0.0946 0.5768  2 P 1.58-1.64
O 0.5115 0.6805 0.4371  1 P 1.49
O 0.5166 0.1250 0.2666  2 P 1.61
O 0.5390 0.3789 0.3633  1 P 1.50
O 0.5629 0.0115 0.8195  1 P 1.49
O 0.5695 0.2615 0.6871  1 P 1.49
O 0.5768 0.5108 0.0946  2 P 1.58-1.64
O 0.5882 0.4118 0.9118  1 P 1.48
O 0.5946 0.9232 0.4892  2 P 1.58-1.64
O 0.6133 0.8711 0.2890  1 P 1.50
O 0.6211 0.8633 0.9610  1 P 1.50
O 0.6250 0.2334 0.4834  2 P 1.61
O 0.6289 0.7110 0.1133  1 P 1.50
O 0.6367 0.0390 0.1211  1 P 1.50
O 0.6554 0.2392 0.1732  2 P 1.58-1.64
O 0.6618 0.6618 0.6618  1 P 1.48
O 0.6732 0.8446 0.7608  2 P 1.58-1.64
O 0.6805 0.4371 0.5115  1 P 1.49
O 0.6871 0.5695 0.2615  1 P 1.49
O 0.7110 0.1133 0.6289  1 P 1.50
O 0.7334 0.0166 0.3750  2 P 1.61
O 0.7385 0.1871 0.9305  1 P 1.49
O 0.7392 0.3268 0.3446  2 P 1.58-1.64
O 0.7608 0.6732 0.8446  2 P 1.58-1.64
O 0.7615 0.8129 0.4305  1 P 1.49
O 0.7666 0.9834 0.8750  2 P 1.61
O 0.7890 0.8867 0.1289  1 P 1.50
O 0.8129 0.4305 0.7615  1 P 1.49
O 0.8195 0.5629 0.0115  1 P 1.49
O 0.8268 0.1554 0.2608  2 P 1.58-1.64
O 0.8382 0.3382 0.1618  1 P 1.48
O 0.8446 0.7608 0.6732  2 P 1.58-1.64
O 0.8633 0.9610 0.6211  1 P 1.50
O 0.8711 0.2890 0.6133  1 P 1.50
O 0.8750 0.7666 0.9834  2 P 1.61
O 0.8789 0.1367 0.4610  1 P 1.50
O 0.8867 0.1289 0.7890  1 P 1.50
O 0.9054 0.0768 0.9892  2 P 1.58-1.64
O 0.9118 0.5882 0.4118  1 P 1.48
O 0.9232 0.4892 0.5946  2 P 1.58-1.64
O 0.9305 0.7385 0.1871  1 P 1.49
O 0.9371 0.9885 0.3195  1 P 1.49
O 0.9610 0.6211 0.8633  1 P 1.50
O 0.9834 0.8750 0.7666  2 P 1.61
O 0.9885 0.3195 0.9371  1 P 1.49
O 0.9892 0.9054 0.0768  2 P 1.58-1.64

crystal system	cubic
symmetry	P4_132, No. 213
calculated total energy	-6.971	eV per atom

[3]
DFT (PBE with a Hubbard U) results for a relaxed structure of NaCr2PO6.

abc: 5.4262 5.4262 5.4262
angles: 54.90 54.90 54.90
With the nearest neighbours (Å) after each atom.
Fractional coordinates of all 10 atoms:
Na 0.0000 0.0000 0.0000  3 O 2.14
Cr 0.2860 0.2860 0.2860  6 O 2.05-2.07
Cr 0.7956 0.7956 0.7956  6 O 1.97-2.07
P 0.4792 0.4792 0.4792  6 O 1.73-1.75
O 0.1161 0.6537 0.4254  1 P 1.75
O 0.2440 0.5522 0.8366  1 P 1.73
O 0.4254 0.1161 0.6537  1 P 1.75
O 0.5522 0.8366 0.2440  1 P 1.73
O 0.6537 0.4254 0.1161  1 P 1.75
O 0.8366 0.2440 0.5522  1 P 1.73

crystal system	trigonal
symmetry	R3, No. 146
calculated total energy	-7.032	eV per atom

[4]
DFT (PBE with a Hubbard U) results for a relaxed structure of NaPaCr2O8.

abc: 5.9765 5.9765 5.9765
angles: 107.02 107.02 114.50
With the nearest neighbours (Å) after each atom.
Fractional coordinates of all 12 atoms:
Na 0.0000 0.0000 0.0000  4 O 2.34
Pa 0.2500 0.7500 0.5000  4 O 2.16
Cr 0.5000 0.5000 0.0000  4 O 1.80
Cr 0.7500 0.2500 0.5000  4 O 1.66
O 0.3381 0.1316 0.7935  1 Cr 1.80
O 0.3381 0.5445 0.2065  1 Cr 1.80
O 0.4061 0.0865 0.3195  1 Cr 1.66
O 0.4555 0.6619 0.7935  1 Cr 1.80
O 0.7670 0.0865 0.6805  1 Cr 1.66
O 0.8684 0.6619 0.2065  1 Cr 1.80
O 0.9135 0.2330 0.3195  1 Cr 1.66
O 0.9135 0.5939 0.6805  1 Cr 1.66

crystal system	tetragonal
symmetry	I-4m2, No. 119
calculated total energy	-7.500	eV per atom

[5]
DFT (PBE with a Hubbard U) results for a relaxed structure of NaPaCrO6.

abc: 5.2505 5.2505 4.7141
angles: 90.00 90.00 120.00
With the nearest neighbours (Å) after each atom.
Fractional coordinates of all 9 atoms:
Na 0.0000 0.0000 0.0000  6 O 2.27
Pa 0.6667 0.3333 0.5000  6 O 2.19
Cr 0.3333 0.6667 0.0000  6 O 1.86
O 0.0325 0.3957 0.2299  1 Cr 1.86
O 0.0325 0.6368 0.7701  1 Cr 1.86
O 0.3632 0.3957 0.7701  1 Cr 1.86
O 0.3632 0.9675 0.2299  1 Cr 1.86
O 0.6043 0.6368 0.2299  1 Cr 1.86
O 0.6043 0.9675 0.7701  1 Cr 1.86

crystal system	trigonal
symmetry	P312, No. 149
calculated total energy	-7.324	eV per atom

[6]
DFT (PBE with a Hubbard U) results for a relaxed structure of NaPa2CrO8.

abc: 4.8725 4.8725 7.0174
angles: 90.13 90.13 89.69
With the nearest neighbours (Å) after each atom.
Fractional coordinates of all 12 atoms:
Na 0.0000 0.0000 0.0000  2 O 2.19
Pa 0.4915 0.4915 0.2513  6 O 2.08-2.31
Pa 0.5085 0.5085 0.7487  6 O 2.08-2.31
Cr 0.0000 0.0000 0.5000  4 O 1.78-1.96
O 0.1804 0.1804 0.6819  1 Cr 1.78
O 0.1937 0.1937 0.2958  1 Cr 1.96, 1 Pa 2.08
O 0.2963 0.7037 0.5000  1 Cr 2.04, 2 Pa 2.24
O 0.3190 0.6810 0.0000  2 Pa 2.16, 1 Na 2.19
O 0.6810 0.3190 0.0000  2 Pa 2.16, 1 Na 2.19
O 0.7037 0.2963 0.5000  1 Cr 2.04, 2 Pa 2.24
O 0.8063 0.8063 0.7042  1 Cr 1.96, 1 Pa 2.08
O 0.8196 0.8196 0.3181  1 Cr 1.78

crystal system	monoclinic
symmetry	C2/m, No. 12
calculated total energy	-8.208	eV per atom

[7]
DFT (PBE with a Hubbard U) results for a relaxed structure of Na2PaCrO8.

abc: 5.4245 5.4245 5.8258
angles: 90.00 90.00 120.00
With the nearest neighbours (Å) after each atom.
Fractional coordinates of all 12 atoms:
Na 0.3333 0.6667 0.4272  4 O 2.25-2.34
Na 0.6667 0.3333 0.5728  4 O 2.25-2.34
Pa 0.0000 0.0000 0.0000  6 O 2.25
Cr 0.0000 0.0000 0.5000  6 O 1.84
O 0.1514 0.3028 0.7015  1 Cr 1.84
O 0.1514 0.8486 0.7015  1 Cr 1.84
O 0.3028 0.1514 0.2985  1 Cr 1.84
O 0.3333 0.6667 0.0402  1 Na 2.25
O 0.6667 0.3333 0.9598  1 Na 2.25
O 0.6972 0.8486 0.7015  1 Cr 1.84
O 0.8486 0.1514 0.2985  1 Cr 1.84
O 0.8486 0.6972 0.2985  1 Cr 1.84

crystal system	trigonal
symmetry	P-3m1, No. 164
calculated total energy	-6.195	eV per atom

[8]
DFT (PBE with a Hubbard U) results for a relaxed structure of Na2CrPbO4.

abc: 5.7926 3.2543 5.8514
angles: 90.00 109.59 90.00
With the nearest neighbours (Å) after each atom.
Fractional coordinates of all 8 atoms:
Na 0.0000 0.0000 0.0000  6 O 2.36-2.42
Na 0.5000 0.5000 0.0000  6 O 2.57-2.71
Cr 0.0000 0.5000 0.5000  6 O 2.05-2.13
Pb 0.5000 0.0000 0.5000  6 O 2.36-2.38
O 0.2064 0.0000 0.7024  2 Cr 2.13, 1 Pb 2.38
O 0.2150 0.5000 0.2843  1 Cr 2.05
O 0.7850 0.5000 0.7157  1 Cr 2.05
O 0.7936 0.0000 0.2976  2 Cr 2.13, 1 Pb 2.38

crystal system	monoclinic
symmetry	P2/m, No. 10
calculated total energy	-5.666	eV per atom